Computed, not measured: a relaxed structure of PuScOs at the GGA-PBE level of DFT. Values from VASP.

Results
V   19.60 Å³/atom
E above lowest polymorph   87 meV per atom

Cell and atoms, written as Quantum ESPRESSO input:
```
&SYSTEM
  ibrav = 0, nat = 6, ntyp = 3
/
ATOMIC_SPECIES
Os 190.23 Os.upf
Sc 44.96 Sc.upf
Pu 244.00 Pu.upf
CELL_PARAMETERS angstrom
5.304 -0.389 0.079
-3.026 4.699 -0.661
-0.828 -2.823 5.337
ATOMIC_POSITIONS crystal
Os 0.463 0.245 0.780
Os 0.537 0.755 0.220
Sc 0.105 0.550 0.763
Sc 0.895 0.450 0.237
Pu 0.798 0.883 0.723
Pu 0.202 0.117 0.277
```